DFT (GGA-PBEsol) results for a relaxed YMn2Cr2 crystal.

Formation enthalpy at 0 K (eV per atom): 0.22
Calculated total energy (eV/cell): -91.506

Cell lengths 3.9588, 3.9588, 9.2108 Å; angles 90.00, 90.00, 90.00 degrees
Last column: nearest neighbours and their distance in Å.
Space group I4/mmm (No. 139)
One atom of each set of equivalent atoms:
Y (0.0000, 0.0000, 0.0000)  8 Mn 3.04, 8 Cr 3.05
Mn (0.0000, 0.5000, 0.2500)  4 Cr 2.26
Cr (0.0000, 0.0000, 0.3693)  4 Mn 2.26, 1 Cr 2.41